# 1
! Mg4ZnIr (PBE-GGA, relaxed); values from VASP
&SYSTEM
  ibrav = 0, nat = 6, ntyp = 3
/
ATOMIC_SPECIES
Mg 24.30 Mg.upf
Zn 65.41 Zn.upf
Ir 192.22 Ir.upf
CELL_PARAMETERS angstrom
0.000 3.797 3.797
3.797 0.000 3.797
3.797 3.797 0.000
ATOMIC_POSITIONS crystal
Mg 0.376 0.376 0.376
Mg 0.376 0.376 0.873
Mg 0.376 0.873 0.376
Mg 0.873 0.376 0.376
Zn 0.000 0.000 0.000
Ir 0.750 0.750 0.750
! - spin magnetization (Bohr magnetons per cell) = 0.00
! - space-group type = No. 216
! - DOS(E_F) (states/eV per atom) = 0.44
! - E above lowest polymorph (meV/atom) = 494
! - raw total energy (eV/atom) = -2.490
! - ΔE_f (kJ/mol of formula units) = 152

# 2
! NdSmCo (PBE-GGA, relaxed); values from VASP
&SYSTEM
  ibrav = 0, nat = 3, ntyp = 3
/
ATOMIC_SPECIES
Nd 144.24 Nd.upf
Sm 150.36 Sm.upf
Co 58.93 Co.upf
CELL_PARAMETERS angstrom
0.000 3.400 3.400
3.400 0.000 3.400
3.400 3.400 0.000
ATOMIC_POSITIONS crystal
Nd 0.000 0.000 0.000
Sm 0.500 0.500 0.500
Co 0.250 0.250 0.250
! - spin magnetization (Bohr magnetons per cell) = 0.00
! - space-group type = No. 216
! - DOS(E_F) (states/eV per atom) = 0.83
! - E above lowest polymorph (meV/atom) = 113
! - raw total energy (eV/atom) = -5.494
! - ΔE_f (kJ/mol of formula units) = 11

# 3
! UPdAu3 (PBE-GGA, relaxed); values from VASP
&SYSTEM
  ibrav = 0, nat = 10, ntyp = 3
/
ATOMIC_SPECIES
U 238.03 U.upf
Pd 106.42 Pd.upf
Au 196.97 Au.upf
CELL_PARAMETERS angstrom
5.413 0.000 0.000
0.000 5.337 0.000
0.000 0.000 7.174
ATOMIC_POSITIONS crystal
U 0.000 0.222 0.000
U 0.500 0.778 0.500
Pd 0.000 0.997 0.632
Pd 0.500 0.003 0.132
Au 0.000 0.759 0.262
Au 0.249 0.301 0.385
Au 0.251 0.699 0.885
Au 0.500 0.241 0.762
Au 0.749 0.699 0.885
Au 0.751 0.301 0.385
! - spin magnetization (Bohr magnetons per cell) = 5.22
! - space-group type = No. 31
! - DOS(E_F) (states/eV per atom) = 1.48
! - raw total energy (eV/atom) = -5.436
! - ΔE_f (kJ/mol of formula units) = -84

# 4
! Cs2NaInHg2 (PBE-GGA, relaxed); values from VASP
&SYSTEM
  ibrav = 0, nat = 12, ntyp = 4
/
ATOMIC_SPECIES
Cs 132.91 Cs.upf
Na 22.99 Na.upf
In 114.82 In.upf
Hg 200.59 Hg.upf
CELL_PARAMETERS angstrom
-3.582 8.929 3.940
3.582 -8.929 3.940
3.582 8.929 -3.940
ATOMIC_POSITIONS crystal
Cs 0.174 0.234 0.408
Cs 0.326 0.734 0.060
Cs 0.674 0.266 0.940
Cs 0.826 0.766 0.592
Na 0.250 0.250 0.000
Na 0.750 0.750 0.000
In 0.250 0.750 0.500
In 0.750 0.250 0.500
Hg 0.092 0.724 0.816
Hg 0.408 0.224 0.631
Hg 0.592 0.776 0.369
Hg 0.908 0.276 0.184
! - spin magnetization (Bohr magnetons per cell) = 0.00
! - space-group type = No. 72
! - DOS(E_F) (states/eV per atom) = 0.55
! - raw total energy (eV/atom) = -1.246
! - ΔE_f (kJ/mol of formula units) = -107

- Which of these has the highest spin magnetization?
  UPdAu3